Material: La2InFeO6
Method: DFT, GGA+U
State: optimized geometry

Unit cell a=5.6483 b=5.6483 c=5.7027 alpha=118.89 beta=118.89 gamma=59.88
Sites, in units of the cell vectors:
La 0.2464 0.2464 0.2308
La 0.7536 0.7536 0.7692
In 0.0000 0.0000 0.5000
Fe 0.5000 0.5000 0.0000
O 0.1988 0.6814 0.1760
O 0.2609 0.2609 0.6589
O 0.3186 0.8012 0.8240
O 0.6814 0.1988 0.1760
O 0.7391 0.7391 0.3411
O 0.8012 0.3186 0.8240

## Properties
Magnetic moment   0.1000 μB/atom
V   130.6 Å³/cell
Final energy   -7.114 eV/atom